1.
Computed, not measured: a relaxed CsSiGe3 crystal at the PBE-GGA level of DFT. Values from VASP.

Crystal system: cubic
Total magnetic moment (Bohr magnetons per cell): 0.00
ΔE_f (raw) (eV/atom): 0.482
Final energy (eV per atom): -3.54
Symmetry: Pm-3m, No. 221
Energy above the most stable polymorph in this dataset (kJ/mol of formula units): 204
D(E_F) (states/eV per atom): 0.6541

```
&SYSTEM
  ibrav = 0, nat = 5, ntyp = 3
/
ATOMIC_SPECIES
Cs 132.91 Cs.upf
Si 28.09 Si.upf
Ge 72.64 Ge.upf
CELL_PARAMETERS angstrom
5.133 0.000 0.000
0.000 5.133 0.000
0.000 0.000 5.133
ATOMIC_POSITIONS crystal
Cs 0.000 0.000 0.000
Si 0.500 0.500 0.500
Ge 0.000 0.500 0.500
Ge 0.500 0.000 0.500
Ge 0.500 0.500 0.000
```



2.
Computed, not measured: a relaxed Cs2SiGe crystal at the PBE-GGA level of DFT. Values from VASP.

Crystal system: cubic
Total magnetic moment (Bohr magnetons per cell): 0.00
ΔE_f (raw) (eV/atom): 0.657
Final energy (eV per atom): -2.28
Symmetry: Fm-3m, No. 225
D(E_F) (states/eV per atom): 0.0000

```
&SYSTEM
  ibrav = 0, nat = 4, ntyp = 3
/
ATOMIC_SPECIES
Cs 132.91 Cs.upf
Si 28.09 Si.upf
Ge 72.64 Ge.upf
CELL_PARAMETERS angstrom
0.000 4.431 4.431
4.431 0.000 4.431
4.431 4.431 0.000
ATOMIC_POSITIONS crystal
Cs 0.250 0.250 0.250
Cs 0.750 0.750 0.750
Si 0.000 0.000 0.000
Ge 0.500 0.500 0.500
```